# 1
An optimized crystal structure of Ga4SiNi7, computed with GGA-PBE.

Unit cell a=5.159 b=5.159 c=8.699 alpha=113.91 beta=113.91 gamma=49.13
Element x y z (fractional)
Ga (0.094, 0.094, 0.267)
Ga (0.278, 0.278, 0.841)
Ga (0.722, 0.722, 0.159)
Ga (0.906, 0.906, 0.733)
Si (0.500, 0.500, 0.500)
Ni (0.000, 0.000, 0.500)
Ni (0.138, 0.138, 0.008)
Ni (0.297, 0.297, 0.573)
Ni (0.424, 0.424, 0.204)
Ni (0.576, 0.576, 0.796)
Ni (0.703, 0.703, 0.427)
Ni (0.862, 0.862, 0.992)

## Properties
space-group type: C2/m, No. 12
raw formation energy: -187 meV/atom
density of states at the Fermi level: 6.91 states/eV per cell

---

# 2
An optimized crystal structure of Ce2PuTaN5, computed with GGA-PBE.

Unit cell a=7.193 b=7.193 c=10.509 alpha=90.00 beta=90.00 gamma=151.74
Element x y z (fractional)
Ce (0.106, 0.894, 0.500)
Ce (0.144, 0.856, 0.095)
Ce (0.856, 0.144, 0.595)
Ce (0.894, 0.106, 0.000)
Pu (0.216, 0.784, 0.814)
Pu (0.784, 0.216, 0.314)
Ta (0.479, 0.521, 0.274)
Ta (0.521, 0.479, 0.774)
N (0.051, 0.949, 0.861)
N (0.276, 0.724, 0.466)
N (0.327, 0.673, 0.186)
N (0.382, 0.618, 0.828)
N (0.484, 0.516, 0.593)
N (0.516, 0.484, 0.093)
N (0.618, 0.382, 0.328)
N (0.673, 0.327, 0.686)
N (0.724, 0.276, 0.966)
N (0.949, 0.051, 0.361)

## Properties
space-group type: Cmc2_1, No. 36
raw formation energy: -1297 meV/atom
density of states at the Fermi level: 19.31 states/eV per cell

---

# 3
An optimized crystal structure of Ac2CdS4, computed with GGA-PBE.

Unit cell a=7.006 b=6.911 c=8.328 alpha=90.00 beta=107.61 gamma=90.00
Element x y z (fractional)
Ac (0.219, 0.250, 0.056)
Ac (0.241, 0.250, 0.559)
Ac (0.759, 0.750, 0.441)
Ac (0.781, 0.750, 0.944)
Cd (0.250, 0.750, 0.811)
Cd (0.750, 0.250, 0.189)
S (0.014, 0.513, 0.256)
S (0.014, 0.987, 0.256)
S (0.457, 0.750, 0.615)
S (0.462, 0.750, 0.112)
S (0.538, 0.250, 0.888)
S (0.543, 0.250, 0.385)
S (0.986, 0.013, 0.744)
S (0.986, 0.487, 0.744)

## Properties
space-group type: P2_1/m, No. 11
raw formation energy: -1620 meV/atom

---

# 4
An optimized crystal structure of Co4AsCl, computed with GGA-PBE.

Unit cell a=4.898 b=4.898 c=4.898 alpha=60.00 beta=60.00 gamma=60.00
Element x y z (fractional)
Co (0.124, 0.124, 0.124)
Co (0.124, 0.124, 0.628)
Co (0.124, 0.628, 0.124)
Co (0.628, 0.124, 0.124)
As (0.750, 0.750, 0.750)
Cl (0.500, 0.500, 0.500)

## Properties
space-group type: F-43m, No. 216
raw formation energy: 620 meV/atom
density of states at the Fermi level: 10.02 states/eV per cell

---

# 5
An optimized crystal structure of Er2FeSi2Tc, computed with GGA-PBE.

Unit cell a=7.605 b=7.605 c=7.605 alpha=134.27 beta=66.52 gamma=134.46
Element x y z (fractional)
Er (0.158, 0.241, 0.399)
Er (0.342, 0.741, 0.083)
Er (0.658, 0.259, 0.917)
Er (0.842, 0.759, 0.601)
Fe (0.250, 0.250, 0.000)
Fe (0.750, 0.750, 0.000)
Si (0.095, 0.763, 0.857)
Si (0.405, 0.263, 0.668)
Si (0.595, 0.737, 0.332)
Si (0.905, 0.237, 0.143)
Tc (0.250, 0.750, 0.500)
Tc (0.750, 0.250, 0.500)

## Properties
space-group type: Ibam, No. 72
raw formation energy: -605 meV/atom
density of states at the Fermi level: 11.91 states/eV per cell

---

# 6
An optimized crystal structure of TaFeCoSi, computed with GGA-PBE.

Unit cell a=4.149 b=4.149 c=4.149 alpha=60.00 beta=60.00 gamma=60.00
Element x y z (fractional)
Ta (0.000, 0.000, 0.000)
Fe (0.250, 0.250, 0.250)
Co (0.750, 0.750, 0.750)
Si (0.500, 0.500, 0.500)

## Properties
space-group type: F-43m, No. 216
raw formation energy: -408 meV/atom
density of states at the Fermi level: 1.05 states/eV per cell